A plane-wave DFT calculation with PBE-GGA was carried out for a relaxed structure of Y2ZrTaN4.

Values from the calculation:
magnetization = 0.00 μB/cell
uncorrected formation energy = -1531 meV/atom
calculated volume = 12.8 Å³ per atom

a = 5.7107 Å, b = 3.2906 Å, c = 5.7867 Å
α = 90.00°, β = 109.13°, γ = 90.00°
Positions (direct):
Y 0.0000 0.0000 0.0000
Y 0.5000 0.5000 0.0000
Zr 0.0000 0.5000 0.5000
Ta 0.5000 0.0000 0.5000
N 0.2505 0.0000 0.7282
N 0.2672 0.5000 0.2766
N 0.7328 0.5000 0.7234
N 0.7495 0.0000 0.2718

A plane-wave DFT calculation with PBE-GGA was carried out for a relaxed structure of BaAgO3.

Values from the calculation:
magnetization = 0.00 μB/cell
uncorrected formation energy = -1077 meV/atom
calculated volume = 16.5 Å³ per atom

a = 4.0007 Å, b = 6.4203 Å, c = 6.4841 Å
α = 96.69°, β = 92.41°, γ = 94.83°
Positions (direct):
Ba 0.0000 0.0000 0.0000
Ba 0.0933 0.4367 0.5454
Ag 0.5243 0.9852 0.4923
Ag 0.5534 0.4551 0.0506
O 0.3046 0.7324 0.2592
O 0.4548 0.7178 0.8594
O 0.5320 0.2171 0.2740
O 0.5918 0.2218 0.7611
O 0.6400 0.7314 0.6724
O 0.9474 0.7138 0.2780

A plane-wave DFT calculation with PBE-GGA was carried out for a relaxed structure of BeTl2Pt.

Values from the calculation:
magnetization = 0.00 μB/cell
formation enthalpy at 0 K = 0.468 eV/atom
calculated volume = 20.1 Å³ per atom

a = 3.7943 Å, b = 4.0956 Å, c = 5.1687 Å
α = 90.00°, β = 90.00°, γ = 90.00°
Positions (direct):
Be 0.0000 0.0000 0.0000
Tl 0.5000 0.0000 0.5000
Tl 0.5000 0.5000 0.0000
Pt 0.0000 0.5000 0.5000

A plane-wave DFT calculation with PBE-GGA was carried out for a relaxed structure of VFe2Os.

Values from the calculation:
magnetization = 9.42 μB/cell
formation enthalpy at 0 K = 0.507 eV/atom
calculated volume = 13.8 Å³ per atom

a = 9.4786 Å, b = 9.4786 Å, c = 9.4786 Å
α = 158.88°, β = 158.88°, γ = 30.04°
Positions (direct):
V 0.0000 0.0000 0.0000
V 0.7500 0.2500 0.5000
Fe 0.1246 0.6250 0.9996
Fe 0.3750 0.3746 0.4996
Fe 0.6254 0.1250 0.0004
Fe 0.8750 0.8754 0.5004
Os 0.2500 0.7500 0.5000
Os 0.5000 0.5000 0.0000

A plane-wave DFT calculation with PBE-GGA was carried out for a relaxed structure of Ho7BeI12.

Values from the calculation:
magnetization = 0.01 μB/cell
uncorrected formation energy = -1117 meV/atom
calculated volume = 36.4 Å³ per atom

a = 9.6239 Å, b = 9.6239 Å, c = 9.6239 Å
α = 107.65°, β = 107.65°, γ = 107.65°
Positions (direct):
Ho 0.0000 0.0000 0.0000
Ho 0.1988 0.3993 0.4685
Ho 0.3993 0.4685 0.1988
Ho 0.4685 0.1988 0.3993
Ho 0.5315 0.8012 0.6007
Ho 0.6007 0.5315 0.8012
Ho 0.8012 0.6007 0.5315
Be 0.5000 0.5000 0.5000
I 0.0302 0.3448 0.1101
I 0.1101 0.0302 0.3448
I 0.1827 0.7270 0.5764
I 0.2730 0.4236 0.8173
I 0.3448 0.1101 0.0303
I 0.4236 0.8173 0.2730
I 0.5764 0.1827 0.7270
I 0.6552 0.8899 0.9698
I 0.7270 0.5764 0.1827
I 0.8173 0.2730 0.4236
I 0.8899 0.9697 0.6552
I 0.9697 0.6552 0.8899

A plane-wave DFT calculation with PBE-GGA was carried out for a relaxed structure of Sr2Ac15Tb2.

Values from the calculation:
magnetization = 0.00 μB/cell
formation enthalpy at 0 K = 0.235 eV/atom
calculated volume = 47.2 Å³ per atom

a = 9.7409 Å, b = 9.7409 Å, c = 9.7409 Å
α = 81.57°, β = 81.57°, γ = 81.57°
Positions (direct):
Sr 0.1686 0.1686 0.1686
Sr 0.8314 0.8314 0.8314
Ac 0.0000 0.5000 0.5000
Ac 0.1444 0.1444 0.6449
Ac 0.1444 0.6449 0.1444
Ac 0.2083 0.5000 0.7917
Ac 0.2083 0.7917 0.5000
Ac 0.3551 0.8556 0.8556
Ac 0.5000 0.0000 0.5000
Ac 0.5000 0.2083 0.7917
Ac 0.5000 0.5000 0.0000
Ac 0.5000 0.7917 0.2083
Ac 0.6449 0.1444 0.1444
Ac 0.7917 0.2083 0.5000
Ac 0.7917 0.5000 0.2083
Ac 0.8556 0.3551 0.8556
Ac 0.8556 0.8556 0.3551
Tb 0.4081 0.4081 0.4081
Tb 0.5919 0.5919 0.5919